1.
The following is a PBE-GGA calculation of a relaxed Ba2BeTlAs crystal, from Alexandria via LeMat-Bulk.

Lattice parameters (Å, degrees): 6.4944 6.4944 4.4806 90.00 90.00 90.00
Closest atoms and distances in Å follow each position.
Atoms (fractional coordinates):
Ba 0.0000 0.5000 0.0000  2 Tl 3.25
Ba 0.5000 0.0000 0.0000  2 Tl 3.25
Be 0.0000 0.0000 0.5000  2 Tl 2.24
Tl 0.0000 0.0000 0.0000  2 Be 2.24
As 0.5000 0.5000 0.5000  8 Ba 3.95

Results
formation enthalpy at 0 K: 0.50 eV per formula unit
total moment: 0.000 μB per atom
total DFT energy (no corrections): -2.817 eV per atom
DOS at the Fermi energy: 0.972 states/eV/atom

2.
The following is a PBE-GGA calculation of a relaxed BaY2BeAs crystal, from Alexandria via LeMat-Bulk.

Lattice parameters (Å, degrees): 5.2599 5.2599 5.4566 90.00 90.00 90.00
Closest atoms and distances in Å follow each position.
Atoms (fractional coordinates):
Ba 0.0000 0.0000 0.0000  2 Be 2.73
Y 0.0000 0.5000 0.5000  2 Be 2.63
Y 0.5000 0.0000 0.5000  2 Be 2.63
Be 0.0000 0.0000 0.5000  4 Y 2.63, 2 Ba 2.73
As 0.5000 0.5000 0.0000  4 Ba 3.72, 8 Y 3.79

Results
formation enthalpy at 0 K: 0.56 eV per formula unit
total moment: 0.000 μB per atom
total DFT energy (no corrections): -4.533 eV per atom
DOS at the Fermi energy: 0.740 states/eV/atom

3.
The following is a PBE-GGA calculation of a relaxed Ba2BiAs2 crystal, from Alexandria via LeMat-Bulk.

Lattice parameters (Å, degrees): 8.4002 8.4002 4.6773 90.00 90.00 90.00
Closest atoms and distances in Å follow each position.
Atoms (fractional coordinates):
Ba 0.1549 0.3451 0.0000  6 As 3.26-3.49
Ba 0.3451 0.8451 0.0000  6 As 3.26-3.49
Ba 0.6549 0.1549 0.0000  6 As 3.26-3.49
Ba 0.8451 0.6549 0.0000  6 As 3.26-3.49
Bi 0.0000 0.0000 0.5000  4 As 3.18
Bi 0.5000 0.5000 0.5000  4 As 3.18
As 0.1536 0.6536 0.5000  2 Bi 3.18, 6 Ba 3.26-3.49
As 0.3464 0.1536 0.5000  2 Bi 3.18, 6 Ba 3.26-3.49
As 0.6536 0.8464 0.5000  2 Bi 3.18, 6 Ba 3.26-3.49
As 0.8464 0.3464 0.5000  2 Bi 3.18, 6 Ba 3.26-3.49

Results
energy above the lowest structure with this stoichiometry: 42 meV/atom
formation enthalpy at 0 K: -3.97 eV per formula unit
total moment: 0.000 μB per atom
total DFT energy (no corrections): -4.200 eV per atom
DOS at the Fermi energy: 1.371 states/eV/atom

4.
The following is a PBE-GGA calculation of a relaxed Ba2BiAs2 crystal, from Alexandria via LeMat-Bulk.

Lattice parameters (Å, degrees): 7.9079 7.9079 4.6411 90.00 90.00 145.05
Closest atoms and distances in Å follow each position.
Atoms (fractional coordinates):
Ba 0.1302 0.8698 0.0000  6 As 3.38-3.51
Ba 0.8698 0.1302 0.0000  6 As 3.38-3.51
Bi 0.5000 0.5000 0.5000  2 As 3.12
As 0.2934 0.7066 0.5000  2 As 2.71
As 0.7066 0.2934 0.5000  2 As 2.71

Results
energy above the lowest structure with this stoichiometry: 0 meV/atom
formation enthalpy at 0 K: -4.18 eV per formula unit
total moment: 0.000 μB per atom
total DFT energy (no corrections): -4.242 eV per atom
DOS at the Fermi energy: 0.392 states/eV/atom

5.
The following is a PBE-GGA calculation of a relaxed Ba3BiAs crystal, from Alexandria via LeMat-Bulk.

Lattice parameters (Å, degrees): 9.9488 9.1758 9.6498 90.00 99.77 90.00
Closest atoms and distances in Å follow each position.
Atoms (fractional coordinates):
Ba 0.0502 0.0010 0.2200  4 As 3.29-3.58, 1 Bi 3.58
Ba 0.0502 0.4990 0.7200  4 As 3.29-3.58, 1 Bi 3.58
Ba 0.2631 0.6143 0.0790  2 As 3.33-3.63, 3 Bi 3.61-3.73
Ba 0.2631 0.8857 0.5790  2 As 3.33-3.63, 3 Bi 3.61-3.73
Ba 0.3709 0.2049 0.9820  1 As 3.22
Ba 0.3709 0.2951 0.4820  1 As 3.22
Ba 0.6291 0.7049 0.5180  1 As 3.22
Ba 0.6291 0.7951 0.0180  1 As 3.22
Ba 0.7369 0.1143 0.4210  2 As 3.33-3.63, 3 Bi 3.61-3.73
Ba 0.7369 0.3857 0.9210  2 As 3.33-3.63, 3 Bi 3.61-3.73
Ba 0.9498 0.5010 0.2800  4 As 3.29-3.58, 1 Bi 3.58
Ba 0.9498 0.9990 0.7800  4 As 3.29-3.58, 1 Bi 3.58
Bi 0.4097 0.5646 0.7651  8 Ba 3.58-3.96
Bi 0.4097 0.9354 0.2651  8 Ba 3.58-3.96
Bi 0.5903 0.0646 0.7349  8 Ba 3.58-3.96
Bi 0.5903 0.4354 0.2349  8 Ba 3.58-3.96
As 0.0615 0.2161 0.5126  6 Ba 3.22-3.58
As 0.0615 0.2839 0.0126  6 Ba 3.22-3.58
As 0.9385 0.7161 0.9874  6 Ba 3.22-3.58
As 0.9385 0.7839 0.4874  6 Ba 3.22-3.58

Results
energy above the lowest structure with this stoichiometry: 0 meV/atom
formation enthalpy at 0 K: -4.90 eV per formula unit
total moment: 0.000 μB per atom
total DFT energy (no corrections): -3.840 eV per atom
DOS at the Fermi energy: 0.005 states/eV/atom

6.
The following is a PBE-GGA calculation of a relaxed Ba3BiAs crystal, from Alexandria via LeMat-Bulk.

Lattice parameters (Å, degrees): 6.2431 6.2431 6.2431 90.00 90.00 90.00
Closest atoms and distances in Å follow each position.
Atoms (fractional coordinates):
Ba 0.0000 0.0000 0.5000  2 As 3.12
Ba 0.0000 0.5000 0.0000  2 As 3.12
Ba 0.5000 0.0000 0.0000  2 As 3.12
Bi 0.5000 0.5000 0.5000  12 Ba 4.41
As 0.0000 0.0000 0.0000  6 Ba 3.12

Results
energy above the lowest structure with this stoichiometry: 153 meV/atom
formation enthalpy at 0 K: -4.13 eV per formula unit
total moment: 0.000 μB per atom
total DFT energy (no corrections): -3.686 eV per atom
DOS at the Fermi energy: 0.000 states/eV/atom

7.
The following is a PBE-GGA calculation of a relaxed Ba5Bi2As crystal, from Alexandria via LeMat-Bulk.

Lattice parameters (Å, degrees): 14.1837 10.5522 9.2996 90.00 90.00 90.00
Closest atoms and distances in Å follow each position.
Atoms (fractional coordinates):
Ba 0.0000 0.2500 0.0442  1 As 3.60, 4 Bi 3.66-3.68, 1 Ba 4.01
Ba 0.0000 0.7500 0.9558  1 As 3.60, 4 Bi 3.66-3.68, 1 Ba 4.01
Ba 0.0776 0.0320 0.6828  2 As 3.30-3.51
Ba 0.0776 0.4680 0.6828  2 As 3.30-3.51
Ba 0.1972 0.7500 0.3551  1 As 3.31
Ba 0.2116 0.2500 0.3308  1 As 3.28
Ba 0.2884 0.7500 0.8308  1 As 3.28
Ba 0.3028 0.2500 0.8551  1 As 3.31
Ba 0.4224 0.5320 0.1828  2 As 3.30-3.51
Ba 0.4224 0.9680 0.1828  2 As 3.30-3.51
Ba 0.5000 0.2500 0.4558  1 As 3.60, 4 Bi 3.66-3.68, 1 Ba 4.01
Ba 0.5000 0.7500 0.5442  1 As 3.60, 4 Bi 3.66-3.68, 1 Ba 4.01
Ba 0.5776 0.0320 0.8172  2 As 3.30-3.51
Ba 0.5776 0.4680 0.8172  2 As 3.30-3.51
Ba 0.6972 0.7500 0.1449  1 As 3.31
Ba 0.7116 0.2500 0.1692  1 As 3.28
Ba 0.7884 0.7500 0.6692  1 As 3.28
Ba 0.8028 0.2500 0.6449  1 As 3.31
Ba 0.9224 0.5320 0.3172  2 As 3.30-3.51
Ba 0.9224 0.9680 0.3172  2 As 3.30-3.51
Bi 0.1725 0.5070 0.0624  8 Ba 3.66-3.81
Bi 0.1725 0.9930 0.0624  8 Ba 3.66-3.81
Bi 0.3275 0.0070 0.5624  8 Ba 3.66-3.81
Bi 0.3275 0.4930 0.5624  8 Ba 3.66-3.81
Bi 0.6725 0.5070 0.4376  8 Ba 3.66-3.81
Bi 0.6725 0.9930 0.4376  8 Ba 3.66-3.81
Bi 0.8275 0.0070 0.9376  8 Ba 3.66-3.81
Bi 0.8275 0.4930 0.9376  8 Ba 3.66-3.81
As 0.0103 0.7500 0.5685  7 Ba 3.28-3.60
As 0.4897 0.2500 0.0685  7 Ba 3.28-3.60
As 0.5103 0.7500 0.9315  7 Ba 3.28-3.60
As 0.9897 0.2500 0.4315  7 Ba 3.28-3.60

Results
formation enthalpy at 0 K: -7.61 eV per formula unit
total moment: 0.124 μB per atom
total DFT energy (no corrections): -3.705 eV per atom
DOS at the Fermi energy: 0.229 states/eV/atom

8.
The following is a PBE-GGA calculation of a relaxed Ba2BiAs2 crystal, from Alexandria via LeMat-Bulk.

Lattice parameters (Å, degrees): 10.4854 10.4854 10.4854 157.45 157.45 32.10
Closest atoms and distances in Å follow each position.
Atoms (fractional coordinates):
Ba 0.1182 0.1182 0.0000  4 As 3.36, 4 Bi 3.75
Ba 0.8818 0.8818 0.0000  4 As 3.36, 4 Bi 3.75
Bi 0.5000 0.5000 0.0000  8 Ba 3.75, 4 Bi 4.10
As 0.2500 0.7500 0.5000  4 As 2.90
As 0.7500 0.2500 0.5000  4 As 2.90

Results
energy above the lowest structure with this stoichiometry: 148 meV/atom
formation enthalpy at 0 K: -3.44 eV per formula unit
total moment: 0.000 μB per atom
total DFT energy (no corrections): -4.094 eV per atom
DOS at the Fermi energy: 0.424 states/eV/atom